Er8Te3As3P: optimized geometry, PBE-GGA.

Cell lengths 8.2230, 8.2230, 20.8189 Å; angles 90.00, 90.00, 120.00 degrees
Space group R-3m (No. 166, hexagonal axes)
Unique sites:
1 Er 0.0000 0.0000 0.2385 (multiplicity 6)
2 Er 0.0045 0.5022 0.2393 (multiplicity 18)
3 Te 0.0000 0.5000 0.0000 (multiplicity 9)
4 As 0.0000 0.5000 0.5000 (multiplicity 9)
5 P 0.0000 0.0000 0.5000 (multiplicity 3)

M_tot = 0.00 μB/f.u.
density of states at the Fermi level = 0.4246 states/eV/atom
formation energy (no corrections) = -1.328 eV per atom

=====

Er8Te4AsP3: optimized geometry, PBE-GGA.

Cell lengths 8.1992, 8.1992, 20.9946 Å; angles 90.00, 90.00, 120.00 degrees
Space group R-3m (No. 166, hexagonal axes)
Unique sites:
1 Er 0.0000 0.0000 0.2361 (multiplicity 6)
2 Er 0.0061 0.5031 0.7629 (multiplicity 18)
3 Te 0.0000 0.0000 0.0000 (multiplicity 3)
4 Te 0.0000 0.5000 0.0000 (multiplicity 9)
5 As 0.0000 0.0000 0.5000 (multiplicity 3)
6 P 0.0000 0.5000 0.5000 (multiplicity 9)

M_tot = 0.00 μB/f.u.
density of states at the Fermi level = 0.3439 states/eV/atom
formation energy (no corrections) = -1.505 eV per atom

=====

Er6Te3AsP2: optimized geometry, PBE-GGA.

Cell lengths 18.3565, 4.1064, 8.4479 Å; angles 90.00, 105.61, 90.00 degrees
Space group C2/m (No. 12)
Unique sites:
1 Er 0.0117 0.0000 0.2367 (multiplicity 4)
2 Er 0.1621 0.5000 0.1119 (multiplicity 4)
3 Er 0.1768 0.5000 0.5615 (multiplicity 4)
4 Te 0.0000 0.5000 0.5000 (multiplicity 2)
5 Te 0.1647 0.0000 0.8332 (multiplicity 4)
6 As 0.0000 0.5000 0.0000 (multiplicity 2)
7 P 0.1672 0.0000 0.3347 (multiplicity 4)

M_tot = 0.00 μB/f.u.
density of states at the Fermi level = 0.3567 states/eV/atom
formation energy (no corrections) = -1.501 eV per atom

=====

Er6TeAs2P3: optimized geometry, PBE-GGA.

Cell lengths 17.7162, 4.0519, 8.1651 Å; angles 90.00, 103.51, 90.00 degrees
Space group C2/m (No. 12)
Unique sites:
1 Er 0.0012 0.0000 0.2269 (multiplicity 4)
2 Er 0.1664 0.5000 0.0870 (multiplicity 4)
3 Er 0.1755 0.5000 0.5841 (multiplicity 4)
4 Te 0.0000 0.5000 0.5000 (multiplicity 2)
5 As 0.1664 0.0000 0.8326 (multiplicity 4)
6 P 0.0000 0.5000 0.0000 (multiplicity 2)
7 P 0.1646 0.0000 0.3328 (multiplicity 4)

M_tot = 0.00 μB/f.u.
density of states at the Fermi level = 0.1617 states/eV/atom
formation energy (no corrections) = -1.553 eV per atom

=====

Er8Te3AsP3: optimized geometry, PBE-GGA.

Cell lengths 8.1126, 8.1126, 20.7265 Å; angles 90.00, 90.00, 120.00 degrees
Space group R-3m (No. 166, hexagonal axes)
Unique sites:
1 Er 0.0000 0.0000 0.2358 (multiplicity 6)
2 Er 0.0106 0.5053 0.7606 (multiplicity 18)
3 Te 0.0000 0.5000 0.0000 (multiplicity 9)
4 As 0.0000 0.0000 0.5000 (multiplicity 3)
5 P 0.0000 0.5000 0.5000 (multiplicity 9)

M_tot = 0.00 μB/f.u.
density of states at the Fermi level = 0.3584 states/eV/atom
formation energy (no corrections) = -1.380 eV per atom

=====

Er6Te3As2P: optimized geometry, PBE-GGA.

Cell lengths 18.4215, 4.1336, 8.4707 Å; angles 90.00, 105.29, 90.00 degrees
Space group C2/m (No. 12)
Unique sites:
1 Er 0.0058 0.0000 0.2222 (multiplicity 4)
2 Er 0.1541 0.5000 0.0958 (multiplicity 4)
3 Er 0.1730 0.5000 0.5642 (multiplicity 4)
4 Te 0.0000 0.5000 0.5000 (multiplicity 2)
5 Te 0.1684 0.0000 0.8337 (multiplicity 4)
6 As 0.1666 0.0000 0.3320 (multiplicity 4)
7 P 0.0000 0.5000 0.0000 (multiplicity 2)

M_tot = 0.00 μB/f.u.
density of states at the Fermi level = 0.3694 states/eV/atom
formation energy (no corrections) = -1.478 eV per atom